1.
The following is a DFT calculation (PBE-GGA) of crystalline PCl at its relaxed geometry.

Its uncorrected formation energy is 0.69 eV per atom. Its calculated density is 1.97 Mg/m³. The calculation puts the final energy at -2.934 eV/atom. The offset from the most stable computed form is 1.053 eV per atom.

Cell: 7.1018 7.1018 2.2185 Å, 90.00 90.00 90.00°
Space group P4/nmm (No. 129, origin choice 2)
Asymmetric unit:
P: 0.2500 0.2500 0.0039 (multiplicity 2)
Cl: 0.2500 0.7500 0.0000 (multiplicity 2)

***

2.
The following is a DFT calculation (PBE-GGA) of crystalline PCl3 at its relaxed geometry.

Its uncorrected formation energy is 0.30 eV per atom. Its calculated density is 2.05 Mg/m³. The calculation puts the final energy at -2.433 eV/atom.

Cell: 3.7673 3.7673 27.1850 Å, 90.00 90.00 120.00°
Space group R-3m (No. 166, hexagonal axes)
Asymmetric unit:
P: 0.0000 0.0000 0.0000 (multiplicity 3)
Cl: 0.0000 0.0000 0.3809 (multiplicity 6)
Cl: 0.0000 0.0000 0.5000 (multiplicity 3)

***

3.
The following is a DFT calculation (PBE-GGA) of crystalline PCl at its relaxed geometry.

Its uncorrected formation energy is -0.05 eV per atom. Its calculated density is 1.90 Mg/m³. The calculation puts the final energy at -3.675 eV/atom. The offset from the most stable computed form is 0.312 eV per atom.

Cell: 16.9529 3.3170 6.2679 Å, 90.00 98.02 90.00°
Space group Cm (No. 8)
Asymmetric unit:
P: 0.0000 0.0000 0.0000 (multiplicity 2)
P: 0.0786 0.5000 0.1572 (multiplicity 2)
P: 0.1844 0.0000 0.2055 (multiplicity 2)
Cl: 0.2124 0.0000 0.5334 (multiplicity 2)
Cl: 0.2861 0.5000 0.1441 (multiplicity 2)
Cl: 0.4652 0.0000 0.7018 (multiplicity 2)

***

4.
The following is a DFT calculation (PBE-GGA) of crystalline PCl at its relaxed geometry.

Its uncorrected formation energy is 0.18 eV per atom. Its calculated density is 1.71 Mg/m³. The calculation puts the final energy at -3.446 eV/atom. The offset from the most stable computed form is 0.541 eV per atom.

Cell: 8.0252 8.0252 8.0252 Å, 90.00 90.00 90.00°
Space group I-43m (No. 217)
Asymmetric unit:
P: 0.1014 0.1014 0.1014 (multiplicity 8)
Cl: 0.2363 0.2363 0.7637 (multiplicity 8)

***

5.
The following is a DFT calculation (PBE-GGA) of crystalline PCl at its relaxed geometry.

Its uncorrected formation energy is -0.13 eV per atom. Its calculated density is 1.99 Mg/m³. The calculation puts the final energy at -3.755 eV/atom. The offset from the most stable computed form is 0.232 eV per atom.

Cell: 3.4144 4.6759 6.9420 Å, 90.00 90.00 90.00°
Space group Pmma (No. 51)
Asymmetric unit:
P: 0.2500 0.0000 0.1101 (multiplicity 2)
Cl: 0.2500 0.5000 0.2024 (multiplicity 2)

***

6.
The following is a DFT calculation (PBE-GGA) of crystalline PCl at its relaxed geometry.

Its uncorrected formation energy is 0.70 eV per atom. Its calculated density is 3.25 Mg/m³. The calculation puts the final energy at -2.933 eV/atom. The offset from the most stable computed form is 1.054 eV per atom.

Cell: 6.4725 6.4725 6.4725 Å, 90.00 90.00 90.00°
Space group Fd-3m (No. 227, origin choice 2)
Asymmetric unit:
P: 0.1250 0.1250 0.1250 (multiplicity 8)
Cl: 0.1250 0.1250 0.6250 (multiplicity 8)

***

7.
The following is a DFT calculation (PBE-GGA) of crystalline PCl3 at its relaxed geometry.

Its uncorrected formation energy is 0.02 eV per atom. Its calculated density is 2.12 Mg/m³. The calculation puts the final energy at -2.716 eV/atom.

Cell: 3.2598 5.1164 12.8736 Å, 90.00 90.00 90.00°
Space group Immm (No. 71)
Asymmetric unit:
P: 0.0000 0.0000 0.0000 (multiplicity 2)
Cl: 0.0000 0.0000 0.5000 (multiplicity 2)
Cl: 0.0000 0.5000 0.3612 (multiplicity 4)

***

8.
The following is a DFT calculation (PBE-GGA) of crystalline PCl at its relaxed geometry.

Its uncorrected formation energy is 0.04 eV per atom. Its calculated density is 2.53 Mg/m³. The calculation puts the final energy at -3.588 eV/atom. The offset from the most stable computed form is 0.399 eV per atom.

Cell: 3.4223 3.4223 25.8222 Å, 90.00 90.00 120.00°
Space group R-3m (No. 166, hexagonal axes)
Asymmetric unit:
P: 0.0000 0.0000 0.1439 (multiplicity 6)
Cl: 0.0000 0.0000 0.4055 (multiplicity 6)

***

9.
The following is a DFT calculation (PBE-GGA) of crystalline PCl at its relaxed geometry.

Its uncorrected formation energy is 0.76 eV per atom. Its calculated density is 3.10 Mg/m³. The calculation puts the final energy at -2.871 eV/atom. The offset from the most stable computed form is 1.116 eV per atom.

Cell: 3.1067 3.1067 4.2543 Å, 90.00 90.00 120.00°
Space group P-6m2 (No. 187)
Asymmetric unit:
P: 0.0000 0.0000 0.0000 (multiplicity 1)
Cl: 0.3333 0.6667 0.5000 (multiplicity 1)

***

10.
The following is a DFT calculation (PBE-GGA) of crystalline P7Cl6 at its relaxed geometry.

Its uncorrected formation energy is 0.17 eV per atom. Its calculated density is 1.85 Mg/m³. The calculation puts the final energy at -3.597 eV/atom.

Cell: 7.1339 7.1339 26.2347 Å, 90.00 90.00 120.00°
Space group R-3m (No. 166, hexagonal axes)
Asymmetric unit:
P: 0.0000 0.0000 0.0000 (multiplicity 3)
P: 0.1014 0.2028 0.9233 (multiplicity 18)
Cl: 0.0000 0.0000 0.1667 (multiplicity 6)
Cl: 0.0000 0.0000 0.3654 (multiplicity 6)
Cl: 0.0000 0.0000 0.4535 (multiplicity 6)

***

11.
The following is a DFT calculation (PBE-GGA) of crystalline PCl3 at its relaxed geometry.

Its uncorrected formation energy is 0.17 eV per atom. Its calculated density is 2.31 Mg/m³. The calculation puts the final energy at -2.567 eV/atom.

Cell: 7.4089 3.2928 8.3636 Å, 90.00 104.89 90.00°
Space group C2/m (No. 12)
Asymmetric unit:
P: 0.0000 0.0000 0.0000 (multiplicity 2)
Cl: 0.0000 0.5000 0.5000 (multiplicity 2)
Cl: 0.1927 0.5000 0.1681 (multiplicity 4)

***

12.
The following is a DFT calculation (PBE-GGA) of crystalline PCl at its relaxed geometry.

Its uncorrected formation energy is -0.32 eV per atom. Its calculated density is 2.23 Mg/m³. The calculation puts the final energy at -3.950 eV/atom. The offset from the most stable computed form is 0.037 eV per atom.

Cell: 3.5497 15.6651 3.5511 Å, 90.00 90.00 90.00°
Space group Cmcm (No. 63)
Asymmetric unit:
P: 0.0000 0.2436 0.2500 (multiplicity 4)
Cl: 0.0000 0.1120 0.2500 (multiplicity 4)